Computed, not measured: Li2ReAg at its PBEsol-relaxed geometry at the meta-GGA SCAN level of DFT.

## Properties
DFT total energy: -26.026 eV per atom
formation energy from the elements: 3.141 eV per formula unit
distance to the lowest polymorph of the same formula: 0 meV per atom
magnetic moment: 9.486 μB/cell

```
Li2ReAg
1.0
6.0057 0.0000 0.0000
0.0000 6.0057 0.0000
0.0000 0.0000 6.0057
Li Re Ag
8 4 4
direct
0.2500 0.2500 0.2500
0.2500 0.2500 0.7500
0.2500 0.7500 0.2500
0.2500 0.7500 0.7500
0.7500 0.2500 0.2500
0.7500 0.2500 0.7500
0.7500 0.7500 0.2500
0.7500 0.7500 0.7500
0.0000 0.0000 0.0000
0.0000 0.5000 0.5000
0.5000 0.0000 0.5000
0.5000 0.5000 0.0000
0.0000 0.0000 0.5000
0.0000 0.5000 0.0000
0.5000 0.0000 0.0000
0.5000 0.5000 0.5000
```